(1)
Material: TaCdPO2
Method: DFT, GGA-PBEsol
State: relaxed

a b c (Å): 3.8777 3.8777 5.2279
angles (deg): 90.00 90.00 90.00
Sites, in units of the cell vectors:
Ta 0.0000 0.0000 0.0000
Cd 0.5000 0.5000 0.5000
P 0.0000 0.0000 0.5000
O 0.0000 0.5000 0.0000
O 0.5000 0.0000 0.0000

Computed properties:
Formation energy from raw total energies ... -143.7 kJ/mol of atoms
DOS at the Fermi energy ... 0.45 states/eV/f.u.
M_tot ... 0.00 μB per cell

(2)
Material: TiCd2PO
Method: DFT, GGA-PBEsol
State: relaxed

a b c (Å): 5.3783 5.3783 3.6125
angles (deg): 90.00 90.00 90.00
Sites, in units of the cell vectors:
Ti 0.0000 0.0000 0.0000
Cd 0.0000 0.5000 0.0000
Cd 0.5000 0.0000 0.0000
P 0.5000 0.5000 0.5000
O 0.0000 0.0000 0.5000

Computed properties:
Formation energy from raw total energies ... -9.1 kJ/mol of atoms
DOS at the Fermi energy ... 3.07 states/eV/f.u.
M_tot ... 0.01 μB per cell

(3)
Material: TlCdP2O
Method: DFT, GGA-PBEsol
State: relaxed

a b c (Å): 5.1705 5.1705 4.0329
angles (deg): 90.00 90.00 90.00
Sites, in units of the cell vectors:
Tl 0.0000 0.0000 0.0000
Cd 0.5000 0.5000 0.5000
P 0.0000 0.5000 0.0000
P 0.5000 0.0000 0.0000
O 0.0000 0.0000 0.5000

Computed properties:
Formation energy from raw total energies ... 87.5 kJ/mol of atoms
DOS at the Fermi energy ... 4.90 states/eV/f.u.
M_tot ... 0.00 μB per cell

(4)
Material: V2CdP2O9
Method: DFT, GGA-PBEsol
State: relaxed

a b c (Å): 14.2781 6.3137 7.2961
angles (deg): 90.00 90.00 90.00
Sites, in units of the cell vectors:
V 0.0000 0.0000 0.0000
V 0.0000 0.5000 0.0000
V 0.1183 0.2500 0.3437
V 0.3817 0.7500 0.8437
V 0.5000 0.0000 0.5000
V 0.5000 0.5000 0.5000
V 0.6183 0.2500 0.1563
V 0.8817 0.7500 0.6563
Cd 0.2221 0.2500 0.8695
Cd 0.2779 0.7500 0.3695
Cd 0.7221 0.2500 0.6305
Cd 0.7779 0.7500 0.1305
P 0.0664 0.7500 0.3621
P 0.1947 0.7500 0.8902
P 0.3053 0.2500 0.3902
P 0.4336 0.2500 0.8621
P 0.5664 0.7500 0.1379
P 0.6947 0.7500 0.6098
P 0.8053 0.2500 0.1098
P 0.9336 0.2500 0.6379
O 0.0086 0.2500 0.4940
O 0.0184 0.7500 0.1701
O 0.0509 0.2500 0.1341
O 0.1327 0.5474 0.8971
O 0.1327 0.9526 0.8971
O 0.1337 0.5588 0.3716
O 0.1337 0.9412 0.3716
O 0.2307 0.2500 0.5453
O 0.2449 0.2500 0.2130
O 0.2551 0.7500 0.7130
O 0.2693 0.7500 0.0453
O 0.3663 0.0588 0.8716
O 0.3663 0.4412 0.8716
O 0.3673 0.0474 0.3971
O 0.3673 0.4526 0.3971
O 0.4491 0.7500 0.6341
O 0.4816 0.2500 0.6701
O 0.4914 0.7500 0.9940
O 0.5086 0.2500 0.0060
O 0.5184 0.7500 0.3299
O 0.5509 0.2500 0.3659
O 0.6327 0.5474 0.6029
O 0.6327 0.9526 0.6029
O 0.6337 0.5588 0.1284
O 0.6337 0.9412 0.1284
O 0.7307 0.2500 0.9547
O 0.7449 0.2500 0.2870
O 0.7551 0.7500 0.7870
O 0.7693 0.7500 0.4547
O 0.8663 0.0588 0.6284
O 0.8663 0.4412 0.6284
O 0.8673 0.0474 0.1029
O 0.8673 0.4526 0.1029
O 0.9491 0.7500 0.8659
O 0.9816 0.2500 0.8299
O 0.9914 0.7500 0.5060

Computed properties:
Formation energy from raw total energies ... -204.5 kJ/mol of atoms
DOS at the Fermi energy ... 6.76 states/eV/f.u.
M_tot ... 16.00 μB per cell

(5)
Material: CdP2WO
Method: DFT, GGA-PBEsol
State: relaxed

a b c (Å): 4.8310 4.8310 3.8089
angles (deg): 90.00 90.00 90.00
Sites, in units of the cell vectors:
Cd 0.0000 0.0000 0.0000
P 0.0000 0.5000 0.0000
P 0.5000 0.0000 0.0000
W 0.5000 0.5000 0.5000
O 0.0000 0.0000 0.5000

Computed properties:
Formation energy from raw total energies ... 144.6 kJ/mol of atoms
DOS at the Fermi energy ... 4.76 states/eV/f.u.
M_tot ... 2.00 μB per cell

(6)
Material: CdPbO3
Method: DFT, GGA-PBEsol
State: relaxed

a b c (Å): 9.0750 9.0750 9.0750
angles (deg): 110.34 109.92 108.15
Sites, in units of the cell vectors:
Cd 0.0000 0.0000 0.0000
Cd 0.0000 0.5000 0.5000
Cd 0.2170 0.2500 0.4670
Cd 0.2830 0.7500 0.0330
Cd 0.5000 0.0000 0.5000
Cd 0.5000 0.5000 0.0000
Cd 0.7170 0.2500 0.9670
Cd 0.7830 0.7500 0.5330
Pb 0.0328 0.2828 0.7500
Pb 0.2500 0.0360 0.7860
Pb 0.2500 0.5360 0.2860
Pb 0.4672 0.2172 0.2500
Pb 0.5328 0.7828 0.7500
Pb 0.7500 0.4640 0.7140
Pb 0.7500 0.9640 0.2140
Pb 0.9672 0.7172 0.2500
O 0.0020 0.9565 0.2336
O 0.0277 0.5358 0.7711
O 0.0502 0.7807 0.5352
O 0.2229 0.7685 0.2664
O 0.2353 0.9642 0.9919
O 0.2455 0.2807 0.2305
O 0.2545 0.4850 0.0352
O 0.2647 0.2566 0.7289
O 0.2771 0.5435 0.5456
O 0.4498 0.9850 0.7305
O 0.4723 0.2434 0.5081
O 0.4980 0.7315 0.9544
O 0.5020 0.2685 0.0456
O 0.5277 0.7566 0.4919
O 0.5502 0.0150 0.2695
O 0.7229 0.4565 0.4544
O 0.7353 0.7434 0.2711
O 0.7455 0.5150 0.9648
O 0.7545 0.7193 0.7695
O 0.7647 0.0358 0.0081
O 0.7771 0.2315 0.7336
O 0.9498 0.2193 0.4648
O 0.9723 0.4642 0.2289
O 0.9980 0.0435 0.7664

Computed properties:
Formation energy from raw total energies ... -93.3 kJ/mol of atoms
DOS at the Fermi energy ... 1.55 states/eV/f.u.
M_tot ... 0.00 μB per cell

(7)
Material: CdPbO3
Method: DFT, GGA-PBEsol
State: relaxed

a b c (Å): 4.1417 4.1417 4.1417
angles (deg): 90.00 90.00 90.00
Sites, in units of the cell vectors:
Cd 0.0000 0.0000 0.0000
Pb 0.5000 0.5000 0.5000
O 0.0000 0.0000 0.5000
O 0.0000 0.5000 0.0000
O 0.5000 0.0000 0.0000

Computed properties:
Formation energy from raw total energies ... -33.0 kJ/mol of atoms
DOS at the Fermi energy ... 5.15 states/eV/f.u.
M_tot ... 0.45 μB per cell

(8)
Material: Cd3PdO
Method: DFT, GGA-PBEsol
State: relaxed

a b c (Å): 5.0555 5.0555 5.0555
angles (deg): 90.00 90.00 90.00
Sites, in units of the cell vectors:
Cd 0.0000 0.0000 0.5000
Cd 0.0000 0.5000 0.0000
Cd 0.5000 0.0000 0.0000
Pd 0.0000 0.0000 0.0000
O 0.5000 0.5000 0.5000

Computed properties:
Formation energy from raw total energies ... 51.7 kJ/mol of atoms
DOS at the Fermi energy ... 3.89 states/eV/f.u.
M_tot ... 1.26 μB per cell

What is the M_tot in the eighth record? 1.26 μB per cell

formation energy from raw total energies of number 1 (TaCdPO2)? -143.7 kJ/mol of atoms

Look up the DOS at the Fermi energy of the eighth one. 3.89 states/eV/f.u.